# AlAgH2 (GGA-PBE, relaxed)
data_AlAgH2
_cell_length_a 5.597
_cell_length_b 5.597
_cell_length_c 5.597
_cell_angle_alpha 90.00
_cell_angle_beta 90.00
_cell_angle_gamma 90.00
_symmetry_space_group_name_H-M 'F m -3 m'
_symmetry_Int_Tables_number 225
_symmetry_space_group_name_Hall '-F 4 2 3'
loop_
_atom_site_label
_atom_site_type_symbol
_atom_site_fract_x
_atom_site_fract_y
_atom_site_fract_z
Al1 Al 0.000 0.000 0.000
Ag1 Ag 0.000 0.000 0.500
H1 H 0.250 0.250 0.250
# Total DFT energy (no corrections) in eV/atom: -2.61
# E above lowest polymorph in meV per atom: 288